(1)
Here is CoHgAsSe2 after structural relaxation from Alexandria via LeMat-Bulk. Energies are from GGA-PBEsol.

Summary:
calculated total energy: -13.85 eV/cell
E_form (uncorrected): 1.452 eV per atom

The structure in extended XYZ format:
```
5
Lattice="5.1488 0.0000 0.0000 0.0000 5.1488 0.0000 0.0000 0.0000 5.0109" Properties=species:S:1:pos:R:3 pbc="T T T"
Co 0.0000 0.0000 0.0000
Hg 2.5744 2.5744 2.5054
As 2.5744 2.5744 0.0000
Se 0.0000 2.5744 2.5054
Se 2.5744 0.0000 2.5054
```

=====

(2)
Here is CoAsI3 after structural relaxation from Alexandria via LeMat-Bulk. Energies are from GGA-PBEsol.

Summary:
calculated total energy: -15.62 eV/cell
E_form (uncorrected): 0.504 eV per atom

The structure in extended XYZ format:
```
5
Lattice="5.0563 0.0000 0.0000 0.0000 5.0563 0.0000 0.0000 0.0000 5.0563" Properties=species:S:1:pos:R:3 pbc="T T T"
Co 0.0000 0.0000 0.0000
As 2.5281 2.5281 2.5281
I 0.0000 0.0000 2.5281
I 0.0000 2.5281 0.0000
I 2.5281 0.0000 0.0000
```

=====

Repeat the first record exactly.
Here is CoHgAsSe2 after structural relaxation from Alexandria via LeMat-Bulk. Energies are from GGA-PBEsol.

Summary:
calculated total energy: -13.85 eV/cell
E_form (uncorrected): 1.452 eV per atom

The structure in extended XYZ format:
```
5
Lattice="5.1488 0.0000 0.0000 0.0000 5.1488 0.0000 0.0000 0.0000 5.0109" Properties=species:S:1:pos:R:3 pbc="T T T"
Co 0.0000 0.0000 0.0000
Hg 2.5744 2.5744 2.5054
As 2.5744 2.5744 0.0000
Se 0.0000 2.5744 2.5054
Se 2.5744 0.0000 2.5054
```

=====

Q: Which formula does entry 2 have?
A: CoAsI3

=====

Q: E_form (uncorrected) of number 1 (CoHgAsSe2)?
A: 1.452 eV per atom

=====

Q: What is the formula in the first record?
A: CoHgAsSe2